DFT (PBE-GGA) results for a relaxed structure of HoTl3Bi2Se6.

Cell: 7.396 7.396 8.071 Å, 98.78 98.78 120.01°
Atoms (fractional coordinates):
Ho 0.000 0.000 0.000
Tl 0.168 0.832 0.500
Tl 0.500 0.500 0.500
Tl 0.832 0.168 0.500
Bi 0.334 0.666 0.000
Bi 0.666 0.334 0.000
Se 0.070 0.395 0.211
Se 0.254 0.254 0.790
Se 0.395 0.070 0.211
Se 0.605 0.930 0.789
Se 0.746 0.746 0.210
Se 0.930 0.605 0.789

Summary:
For the uncorrected formation energy, the calculation gives -9.1 eV per formula unit. The space group is C2/m, No. 12.

***

DFT (PBE-GGA) results for a relaxed structure of HoTmBiSe.

Cell: 7.620 7.620 7.620 Å, 31.80 31.80 31.80°
Atoms (fractional coordinates):
Ho 0.000 0.000 0.000
Tm 0.817 0.817 0.817
Bi 0.241 0.241 0.241
Se 0.413 0.413 0.413

Summary:
For the uncorrected formation energy, the calculation gives -4.7 eV per formula unit. The space group is R3m, No. 160. The density of states at the Fermi level comes out at 2.5 states/eV/f.u.